(1)
This record from the Alexandria database describes a geometry-optimized BaTcPb2 structure. The functional is GGA-PBE.

Cell and atoms, written as CIF:
```
data_BaTcPb2
_chemical_formula_sum 'Ba2 Tc2 Pb4'
_cell_length_a 3.477
_cell_length_b 4.510
_cell_length_c 15.154
_cell_angle_alpha 90.00
_cell_angle_beta 90.00
_cell_angle_gamma 90.00
_symmetry_space_group_name_H-M 'I m m 2'
_symmetry_Int_Tables_number 44
loop_
_symmetry_equiv_pos_as_xyz
'x,y,z'
'-x,-y,z'
'-x,y,z'
'x,-y,z'
'x+1/2,y+1/2,z+1/2'
'-x+1/2,-y+1/2,z+1/2'
'-x+1/2,y+1/2,z+1/2'
'x+1/2,-y+1/2,z+1/2'
loop_
_atom_site_label
_atom_site_type_symbol
_atom_site_fract_x
_atom_site_fract_y
_atom_site_fract_z
Ba1 Ba 0.000 0.000 0.000
Tc1 Tc 0.000 0.500 0.297
Pb1 Pb 0.000 0.000 0.649
Pb2 Pb 0.000 0.500 0.814
```


(2)
This record from the Alexandria database describes a geometry-optimized BaTcPb2 structure. The functional is GGA-PBE.

Cell and atoms, written as CIF:
```
data_BaTcPb2
_chemical_formula_sum 'Ba2 Tc2 Pb4'
_cell_length_a 4.850
_cell_length_b 4.850
_cell_length_c 10.141
_cell_angle_alpha 90.00
_cell_angle_beta 90.00
_cell_angle_gamma 90.00
_symmetry_space_group_name_H-M 'I -4 m 2'
_symmetry_Int_Tables_number 119
_symmetry_space_group_name_Hall 'I -4 -2'
loop_
_atom_site_label
_atom_site_type_symbol
_atom_site_fract_x
_atom_site_fract_y
_atom_site_fract_z
Ba1 Ba 0.000 0.000 0.000
Tc1 Tc 0.000 0.500 0.250
Pb1 Pb 0.000 0.000 0.500
Pb2 Pb 0.000 0.500 0.750
```


(3)
This record from the Alexandria database describes a geometry-optimized BaTcPb2 structure. The functional is GGA-PBE.

Cell and atoms, written as CIF:
```
data_BaTcPb2
_chemical_formula_sum 'Ba1 Tc1 Pb2'
_cell_length_a 4.850
_cell_length_b 4.850
_cell_length_c 4.999
_cell_angle_alpha 90.00
_cell_angle_beta 90.00
_cell_angle_gamma 90.00
_symmetry_space_group_name_H-M 'P 4/m m m'
_symmetry_Int_Tables_number 123
_symmetry_space_group_name_Hall '-P 4 2'
loop_
_atom_site_label
_atom_site_type_symbol
_atom_site_fract_x
_atom_site_fract_y
_atom_site_fract_z
Ba1 Ba 0.000 0.000 0.000
Tc1 Tc 0.500 0.500 0.000
Pb1 Pb 0.000 0.500 0.500
```


Most stable of them? (1).